## ZrCoSi2Ni (PBE)

Data for crystalline ZrCoSi2Ni at its relaxed geometry.

Results
Uncorrected energy in eV for the cell shown: -36.0
Total moment in μB/atom: 0.14

a b c (Å): 5.5522 5.5522 5.5522
angles (deg): 140.59 140.59 56.96
Last column: magnetic moment on the atom in μB.
Atoms (fractional coordinates):
Si  0.8697  0.3697  0.5000  0.00
Si  0.6303  0.1303  0.5000  0.00
Ni  0.0000  0.0000  0.0000  0.18
Co  0.5000  0.5000  0.0000  0.47
Zr  0.2500  0.7500  0.5000  0.04

## BaGdNO (PBE)

Data for crystalline BaGdNO at its relaxed geometry.

Results
Total moment in μB/atom: 0.00
ΔE to the lowest computed polymorph in meV per atom: 0.0

a b c (Å): 5.6995 7.1369 8.4899
angles (deg): 90.00 90.00 90.00
Atoms (fractional coordinates):
Gd  0.9868  0.4123  0.3899
Gd  0.9868  0.9123  0.6101
Gd  0.4868  0.0877  0.3899
Gd  0.4868  0.5877  0.6101
N  0.3870  0.8990  0.5971
N  0.8870  0.6010  0.5971
N  0.3870  0.3990  0.4029
N  0.8870  0.1010  0.4029
Ba  0.9763  0.4214  0.8599
Ba  0.4763  0.0786  0.8599
Ba  0.4763  0.5786  0.1401
Ba  0.9763  0.9214  0.1401
O  0.4475  0.9468  0.1521
O  0.9475  0.5532  0.1521
O  0.4475  0.4468  0.8479
O  0.9475  0.0532  0.8479